{"formula": "Ac2Sm4O", "functional": "PBE", "state": "relaxed", "n_ef_per_ev_atom": 1.1662, "raw_formation_energy_ev_per_atom": -0.64, "energy_ev_per_atom": -5.2235, "sg": "No. 139", "cell": [[5.003, 0.000, 0.000], [0.000, 5.003, 0.000], [-2.502, -2.502, 9.320]], "species": ["Ac", "Ac", "O", "Sm", "Sm", "Sm", "Sm"], "fractional_positions": [[0.672, 0.672, 0.344], [0.328, 0.328, 0.656], [0.000, 0.000, 0.000], [0.873, 0.873, 0.746], [0.127, 0.127, 0.254], [0.000, 0.500, 0.000], [0.500, 0.000, 0.000]]}